[1]
This record from Alexandria via LeMat-Bulk describes crystalline Sm4Cd2InRu at its relaxed geometry. The functional is PBE.

**D(E_F)**: 0.746 states/eV/atom
**Formation enthalpy at 0 K**: -0.3477 eV/atom
**Space-group type**: R-3m, No. 166
**Total energy**: -35.503 eV/cell
**Total moment**: 0.00 μB/cell

abc: 5.298 5.298 9.050
angles: 72.98 72.98 60.00
Sites, in units of the cell vectors:
Ru 0.500 0.500 0.500
Sm 0.868 0.868 0.396
Cd 0.741 0.741 0.776
Sm 0.613 0.613 0.160
Cd 0.259 0.259 0.224
In 0.000 0.000 0.000
Sm 0.132 0.132 0.604
Sm 0.387 0.387 0.840

***

[2]
This record from Alexandria via LeMat-Bulk describes crystalline Ho4C2OF at its relaxed geometry. The functional is PBE.

**D(E_F)**: 0.253 states/eV/atom
**Space-group type**: P2/m, No. 10
**Total energy**: -56.960 eV/cell
**Total moment**: 0.00 μB/cell

abc: 3.532 6.131 6.068
angles: 109.56 90.00 90.00
Sites, in units of the cell vectors:
O 0.000 0.000 0.000
C 0.000 0.500 0.500
Ho 0.500 0.752 0.735
Ho 0.500 0.248 0.265
Ho 0.000 0.765 0.271
C 0.500 0.000 0.500
F 0.500 0.500 0.000
Ho 0.000 0.235 0.729